NaFePCl2: relaxed, PBE.

Cell lengths 5.0783, 5.0783, 4.2805 Å; angles 90.00, 90.00, 90.00 degrees
Last column: magnetic moment on the atom in μB.
Element x y z (fractional)
Na  0.5000  0.5000  0.5000  0.00
Cl  0.5000  0.0000  0.0000  -0.01
Cl  0.0000  0.5000  0.0000  -0.01
Fe  0.0000  0.0000  0.0000  2.20
P  0.0000  0.0000  0.5000  -0.26

Computed properties:
Distance to the lowest polymorph of the same formula (kcal/mol of atoms): 0.000
Formation energy from raw total energies (eV per atom): -0.409
Raw total energy (Ry per atom): -0.3077
Density of states at the Fermi level (states/eV per atom): 0.69
Crystal system: tetragonal